Here is a relaxed Ac2CrSiO6 crystal from the Alexandria database. Energies are from GGA+U.

Results
DFT total energy = -7.883 eV per atom
Magnetic moment = 4.00 μB/cell
Space-group type = P4mm, No. 99

Cell: 5.4163 5.4163 4.4911 Å, 90.00 90.00 90.00°
Fractional coordinates of all 10 atoms:
Ac: 0.0000 0.5000 0.0000
Ac: 0.5000 0.0000 0.0000
Cr: 0.0000 0.0000 0.5455
Si: 0.5000 0.5000 0.5206
O: 0.0000 0.0000 0.0617
O: 0.2748 0.2748 0.6078
O: 0.2748 0.7252 0.6078
O: 0.5000 0.5000 0.1441
O: 0.7252 0.2748 0.6078
O: 0.7252 0.7252 0.6078